Record 1
An optimized crystal structure of PuCd5Hg4, computed with PBE-GGA.

```
data_PuCd5Hg4
_cell_length_a 17.2117
_cell_length_b 3.1562
_cell_length_c 9.3488
_cell_angle_alpha 90.00
_cell_angle_beta 107.74
_cell_angle_gamma 90.00
_space_group_name_H-M_alt 'C 1 2/m 1'
_space_group_IT_number 12
loop_
_space_group_symop_operation_xyz
'x,y,z'
'-x,-y,-z'
'-x,y,-z'
'x,-y,z'
'x+1/2,y+1/2,z'
'-x+1/2,-y+1/2,-z'
'-x+1/2,y+1/2,-z'
'x+1/2,-y+1/2,z'
loop_
_atom_site_label
_atom_site_fract_x
_atom_site_fract_y
_atom_site_fract_z
Pu1 0.0000 0.0000 0.0000
Cd1 0.0000 0.0000 0.5000
Cd2 0.1104 0.5000 0.7979
Cd3 0.1992 0.0000 0.5923
Hg1 0.0913 0.5000 0.3082
Hg2 0.1980 0.0000 0.1124
```

=====

Record 2
# PuCd2Hg, relaxed, DFT PBE-GGA
data_PuCd2Hg
_cell_length_a 7.2433
_cell_length_b 7.3390
_cell_length_c 5.1405
_cell_angle_alpha 90.00
_cell_angle_beta 134.58
_cell_angle_gamma 90.00
_space_group_name_H-M_alt 'C 1 2 1'
_space_group_IT_number 5
loop_
_space_group_symop_operation_xyz
'x,y,z'
'-x,y,-z'
'x+1/2,y+1/2,z'
'-x+1/2,y+1/2,-z'
loop_
_atom_site_label
_atom_site_fract_x
_atom_site_fract_y
_atom_site_fract_z
Pu1 0.0000 0.0000 0.0000
Cd1 0.0000 0.5002 0.0000
Cd2 0.0000 0.7493 0.5000
Hg1 0.0000 0.2506 0.5000
# Offset from the most stable computed form = 0 meV per atom

=====

Record 3
An optimized crystal structure of Pu3Cd3Hg8, computed with PBE-GGA.

```
data_Pu3Cd3Hg8
_cell_length_a 4.8246
_cell_length_b 11.2420
_cell_length_c 12.9059
_cell_angle_alpha 90.00
_cell_angle_beta 90.00
_cell_angle_gamma 90.00
_space_group_name_H-M_alt 'I m m m'
_space_group_IT_number 71
_space_group_name_Hall '-I 2 2'
loop_
_atom_site_label
_atom_site_fract_x
_atom_site_fract_y
_atom_site_fract_z
Pu1 0.0000 0.0000 0.0000
Pu2 0.0000 0.0000 0.2694
Cd1 0.0000 0.1487 0.5000
Cd2 0.0000 0.5000 0.0000
Hg1 0.0000 0.2878 0.1465
Hg2 0.0000 0.3675 0.3693
```

=====

Ordered energy of formation from the pure elements results: -17.5 -80.7 -52.5; unit meV per atom.
Ordered density of states at the Fermi level results: 1.11 3.38 2.84; unit states/eV per atom.